Record 1
Material: PaTcPb
Method: DFT, PBE
State: relaxed

Unit cell a=3.316 b=3.316 c=6.503 alpha=104.77 beta=104.77 gamma=90.00
Positions (direct):
Pb1 0.980 0.980 0.960
Tc1 0.328 0.328 0.657
Pa1 0.692 0.692 0.383

Computed properties:
**Energy of formation from the pure elements**: 0.06 eV/f.u.
**Relative energy among the computed polymorphs**: 0.000 eV/atom

=====

Record 2
Material: SnMo2IrRh
Method: DFT, PBE
State: relaxed

Unit cell a=4.870 b=4.732 c=4.870 alpha=90.00 beta=90.00 gamma=90.00
Each line ends with the local moment (μB).
Positions (direct):
Rh1 0.500 0.500 0.500  0.92
Mo1 0.000 0.000 0.500  0.67
Sn1 0.000 0.000 0.000  0.02
Ir1 0.000 0.500 0.000  0.12
Mo2 0.500 0.000 0.000  0.34

Computed properties:
**Energy of formation from the pure elements**: 11.51 eV/f.u.

=====

Record 3
Material: CdP3H12
Method: DFT, PBE
State: relaxed

Unit cell a=7.256 b=7.256 c=10.015 alpha=68.76 beta=68.76 gamma=60.00
Positions (direct):
H1 0.002 0.182 0.418
H2 0.888 0.833 0.068
Cd1 0.082 0.082 0.754
H3 0.517 0.450 0.145
H4 0.694 0.279 0.377
H5 0.194 0.150 0.877
H6 0.898 0.682 0.918
H7 0.398 0.002 0.418
H8 0.388 0.711 0.568
H9 0.450 0.889 0.145
H10 0.182 0.398 0.418
P1 0.528 0.819 0.512
H11 0.779 0.194 0.877
H12 0.389 0.950 0.645
H13 0.211 0.888 0.068
P2 0.819 0.141 0.512
P3 0.319 0.028 0.012
H14 0.017 0.389 0.645
P4 0.141 0.528 0.512
H15 0.833 0.211 0.068
H16 0.150 0.779 0.877
P5 0.641 0.319 0.012
H17 0.650 0.694 0.377
H18 0.502 0.898 0.918
Cd2 0.582 0.582 0.254
H19 0.279 0.650 0.377
H20 0.333 0.388 0.568
H21 0.711 0.333 0.568
H22 0.682 0.502 0.918
H23 0.950 0.017 0.645
P6 0.028 0.641 0.012
H24 0.889 0.517 0.145

Computed properties:
**Uncorrected energy**: -3.411 eV/atom

=====

Record 4
Material: La2AlCdIr
Method: DFT, PBE
State: relaxed

Unit cell a=5.598 b=5.598 c=4.817 alpha=90.00 beta=90.00 gamma=90.00
Positions (direct):
Ir1 0.000 0.000 0.000
La1 0.500 0.000 0.000
Al1 0.000 0.000 0.500
Cd1 0.500 0.500 0.500
La2 0.000 0.500 0.000

Computed properties:
**Energy of formation from the pure elements**: -2.30 eV/f.u.

=====

Record 5
Material: LaMg2Al
Method: DFT, PBE
State: relaxed

Unit cell a=4.576 b=4.573 c=4.929 alpha=90.00 beta=90.00 gamma=90.00
Positions (direct):
Al1 0.500 0.000 0.500
La1 0.000 0.500 0.500
Mg1 0.000 0.000 0.000
Mg2 0.500 0.500 0.000

Computed properties:
**Energy of formation from the pure elements**: -0.63 eV/f.u.

=====

Record 6
Material: Nd3Al3Zn
Method: DFT, PBE
State: relaxed

Unit cell a=4.642 b=5.969 c=14.036 alpha=81.69 beta=80.48 gamma=67.11
Positions (direct):
Nd1 0.587 0.736 0.089
Zn1 0.741 0.126 0.393
Al1 0.112 0.844 0.933
Nd2 0.756 0.700 0.788
Al2 0.872 0.709 0.547
Nd3 0.413 0.264 0.911
Al3 0.128 0.291 0.453
Nd4 0.244 0.300 0.212
Zn2 0.259 0.874 0.607
Nd5 0.556 0.276 0.613
Al4 0.062 0.115 0.761
Al5 0.888 0.156 0.067
Nd6 0.444 0.724 0.387
Al6 0.938 0.885 0.239

Computed properties:
**Energy of formation from the pure elements**: -2.69 eV/f.u.

=====

Record 7
Material: Na3VP
Method: DFT, PBE
State: relaxed

Unit cell a=5.403 b=5.403 c=5.403 alpha=90.00 beta=90.00 gamma=90.00
Each line ends with the local moment (μB).
Positions (direct):
Na1 0.500 0.000 0.000  0.01
Na2 0.000 0.000 0.500  0.01
Na3 0.000 0.500 0.000  0.01
P1 0.000 0.000 0.000  0.03
V1 0.500 0.500 0.500  3.33

Computed properties:
**Energy of formation from the pure elements**: 3.36 eV/f.u.
**Relative energy among the computed polymorphs**: 0.000 eV/atom

=====

Record 8
Material: BeCu2W
Method: DFT, PBE
State: relaxed

Unit cell a=4.097 b=4.097 c=4.097 alpha=60.00 beta=60.00 gamma=60.00
Positions (direct):
Cu1 0.000 0.000 0.000
Be1 0.500 0.500 0.500
W1 0.250 0.250 0.250
Cu2 0.750 0.750 0.750

Computed properties:
**Energy of formation from the pure elements**: 1.66 eV/f.u.
**Relative energy among the computed polymorphs**: 0.342 eV/atom

=====

Record 9
Material: Pa2BeTc
Method: DFT, PBE
State: relaxed

Unit cell a=4.800 b=4.800 c=4.802 alpha=60.01 beta=60.01 gamma=60.00
Positions (direct):
Pa1 0.250 0.250 0.250
Pa2 0.750 0.750 0.750
Be1 0.500 0.500 0.500
Tc1 0.000 0.000 0.000

Computed properties:
**Energy of formation from the pure elements**: 0.39 eV/f.u.
**Relative energy among the computed polymorphs**: 0.097 eV/atom

=====

Record 10
Material: Pr3Ho3PuS8
Method: DFT, PBE
State: relaxed

Unit cell a=7.931 b=7.931 c=8.029 alpha=119.60 beta=90.00 gamma=120.00
Each line ends with the local moment (μB).
Positions (direct):
S1 0.744 0.488 0.731  0.00
S2 0.738 0.987 0.736  -0.02
Pr1 0.500 0.500 0.000  0.06
Pr2 0.000 0.000 0.000  0.06
Ho1 0.500 0.500 0.500  0.06
S3 0.262 0.013 0.264  -0.02
S4 0.751 0.013 0.264  -0.02
S5 0.249 0.987 0.736  -0.02
S6 0.249 0.498 0.736  -0.02
Ho2 0.000 0.500 0.500  0.06
Pr3 0.000 0.500 0.000  0.06
S7 0.751 0.502 0.264  -0.02
Ho3 0.500 0.000 0.500  0.06
S8 0.256 0.512 0.269  0.00
Pu1 0.000 0.000 0.500  5.31

Computed properties:
**Uncorrected energy**: -7.020 eV/atom

=====

Record 11
Material: Th6Te3OsRh2
Method: DFT, PBE
State: relaxed

Unit cell a=4.198 b=9.094 c=10.011 alpha=109.39 beta=102.10 gamma=90.00
Positions (direct):
Os1 0.500 0.000 0.000
Th1 0.654 0.106 0.307
Te1 0.833 0.167 0.665
Te2 0.167 0.833 0.335
Th2 0.990 0.780 0.981
Th3 0.346 0.894 0.693
Rh1 0.832 0.665 0.665
Th4 0.323 0.443 0.646
Th5 0.010 0.220 0.019
Te3 0.500 0.500 0.000
Rh2 0.168 0.335 0.335
Th6 0.677 0.557 0.354

Computed properties:
**Uncorrected energy**: -7.639 eV/atom

=====

Record 12
Material: Hg2IrCl
Method: DFT, PBE
State: relaxed

Unit cell a=3.069 b=4.834 c=5.322 alpha=90.00 beta=90.00 gamma=90.00
Positions (direct):
Ir1 0.500 0.000 0.500
Hg1 0.000 0.000 0.000
Hg2 0.500 0.500 0.000
Cl1 0.000 0.500 0.500

Computed properties:
**Relative energy among the computed polymorphs**: 0.544 eV/atom

=====

Record 13
Material: RePOs2
Method: DFT, PBE
State: relaxed

Unit cell a=5.148 b=5.148 c=5.148 alpha=147.67 beta=130.16 gamma=60.66
Positions (direct):
P1 0.498 0.498 0.000
Os1 0.999 0.999 0.000
Re1 0.716 0.216 0.500
Os2 0.287 0.787 0.500

Computed properties:
**Energy of formation from the pure elements**: 0.19 eV/f.u.